(1)
H2PdO2 | Alexandria | PBE | optimized geometry; electronic total energy = -4.8865 eV/atom; V = 49.0 Å³/f.u.
1.0
3.674 0.000 0.000
1.837 2.994 0.395
1.837 0.752 4.554
Pd O H
1 2 2
direct
0.000 0.000 0.000
0.730 0.739 0.801
0.270 0.261 0.199
0.203 0.171 0.423
0.797 0.829 0.577

---

(2)
Pm7Sb2Pt2 | Alexandria | PBE | optimized geometry; formation energy (no corrections) = -0.6827 eV/atom; V = 346.3 Å³/f.u.
1.0
-4.621 3.568 -4.095
0.176 -5.197 -4.727
-4.118 -3.993 4.236
Sb Pm Pt
2 7 2
direct
0.193 0.500 0.193
0.807 0.500 0.807
0.500 0.761 0.500
0.500 0.257 0.000
0.500 0.239 0.500
0.000 0.000 0.000
0.000 0.257 0.500
0.000 0.743 0.500
0.500 0.743 0.000
0.276 0.000 0.724
0.724 0.000 0.276

---

(3)
Mg2CdHPd | Alexandria | PBE | optimized geometry; energy above the most stable polymorph in this dataset = 0.091 eV per atom; V = 75.8 Å³/f.u.
1.0
4.159 0.000 0.000
0.000 4.385 0.000
0.000 0.000 4.159
Pd Cd H Mg
1 1 1 2
direct
0.500 0.500 0.500
0.000 0.500 0.000
0.000 0.000 0.000
0.500 0.000 0.000
0.000 0.000 0.500

---

(4)
Mo3Cl | Alexandria | PBE | optimized geometry; formation energy (no corrections) = 0.5211 eV/atom; energy above the most stable polymorph in this dataset = 0.269 eV per atom; V = 69.7 Å³/f.u.
1.0
-3.331 2.738 3.509
-2.934 0.638 -4.680
-2.254 -3.875 0.884
Cl Mo
2 6
direct
0.384 0.384 0.750
0.616 0.616 0.250
0.793 0.793 0.750
0.941 0.259 0.750
0.259 0.941 0.750
0.207 0.207 0.250
0.059 0.741 0.250
0.741 0.059 0.250